Record 1
KCu2NiMo after structural relaxation, computed with PBE.

extended XYZ file:
```
5
Lattice="4.916 0.000 0.000 0.000 4.600 0.000 0.000 0.000 4.916" Properties=species:S:1:pos:R:3 pbc="T T T"
Ni 0.000 2.300 0.000
Cu 0.000 0.000 2.458
Cu 2.458 0.000 0.000
Mo 0.000 0.000 0.000
K 2.458 2.300 2.458
```

Output
The formation energy comes out at 1081.9 meV/atom.

Record 2
MnP3Pt12Pb2 after structural relaxation, computed with PBE.

extended XYZ file:
```
18
Lattice="-0.309 -3.511 6.748 6.195 0.693 4.371 -0.726 4.550 6.060" Properties=species:S:1:pos:R:3 pbc="T T T"
Pb 3.161 1.061 10.525
Pb 1.999 0.671 6.654
P -0.155 -1.755 3.374
P -0.363 2.275 3.030
P 3.097 0.346 2.185
Pt 0.013 0.743 8.703
Pt 1.460 3.044 9.377
Pt 3.698 0.565 4.387
Pt 0.527 -1.484 5.546
Pt 4.633 3.216 11.633
Pt 3.700 -1.311 7.803
Pt 3.478 2.983 7.436
Pt 4.836 -0.713 11.968
Pt 1.682 -1.250 9.743
Pt 0.324 2.446 5.211
Pt 5.147 0.989 8.477
Pt 1.462 1.167 12.792
Mn 0.000 0.000 0.000
```

Output
The formation energy comes out at -190.8 meV/atom.